1.
DFT (PBE) results for PaNbH3 after structural relaxation.

## Properties
Mass density in g/cm3: 10.300
Energy in eV for the cell shown: -122.34
D(E_F) in states/eV per cell: 15.43
Magnetic moment in μB per atom: 0.00

Cell lengths 5.221, 6.625, 7.423 Å; angles 124.80, 90.00, 90.00 degrees
Atoms (fractional coordinates):
1 Nb 0.753 0.525 0.619
2 Nb 0.747 0.025 0.119
3 Nb 0.253 0.975 0.881
4 Nb 0.247 0.475 0.381
5 H 0.036 0.731 0.628
6 H 0.964 0.269 0.372
7 H 0.922 0.143 0.960
8 H 0.876 0.409 0.792
9 H 0.536 0.769 0.872
10 H 0.124 0.591 0.208
11 H 0.422 0.357 0.540
12 H 0.624 0.909 0.292
13 H 0.578 0.643 0.460
14 H 0.464 0.231 0.128
15 H 0.376 0.091 0.708
16 H 0.078 0.857 0.040
17 Pa 0.283 0.491 0.884
18 Pa 0.717 0.509 0.116
19 Pa 0.217 0.991 0.384
20 Pa 0.783 0.009 0.616



2.
DFT (PBE) results for ZrNiAg after structural relaxation.

## Properties
Mass density in g/cm3: 8.369
D(E_F) in states/eV per cell: 1.34
Excess energy over the best structure of this formula in the dataset in meV/atom: 51.3
Magnetic moment in μB per atom: 0.00

Cell lengths 5.047, 5.046, 3.394 Å; angles 70.35, 70.34, 39.30 degrees
Atoms (fractional coordinates):
1 Ag 0.995 0.995 0.005
2 Ni 0.323 0.323 0.677
3 Zr 0.682 0.682 0.318



3.
DFT (PBE) results for AlSO4 after structural relaxation.

## Properties
Mass density in g/cm3: 2.502
D(E_F) in states/eV per cell: 3.53
Excess energy over the best structure of this formula in the dataset in meV/atom: 53.1
Magnetic moment in μB per atom: 0.08
Formation energy without anion corrections in eV/atom: -1.34

Cell lengths 5.207, 5.803, 5.405 Å; angles 90.00, 90.00, 90.00 degrees
Each line ends with the local moment (μB).
Atoms (fractional coordinates):
1 O 0.246 0.061 0.723  0.12
2 O 0.246 0.939 0.277  0.12
3 O 0.840 0.661 0.151  0.00
4 O 0.160 0.661 0.849  0.00
5 O 0.160 0.339 0.151  0.00
6 O 0.754 0.939 0.723  0.12
7 O 0.840 0.339 0.849  0.00
8 O 0.754 0.061 0.277  0.12
9 Al 0.500 0.000 0.500  0.00
10 Al 0.000 0.000 0.000  0.00
11 S 0.000 0.500 0.000  0.00
12 S 0.000 0.000 0.500  0.30



Repeat the third record exactly.
DFT (PBE) results for AlSO4 after structural relaxation.

## Properties
Mass density in g/cm3: 2.502
D(E_F) in states/eV per cell: 3.53
Excess energy over the best structure of this formula in the dataset in meV/atom: 53.1
Magnetic moment in μB per atom: 0.08
Formation energy without anion corrections in eV/atom: -1.34

Cell lengths 5.207, 5.803, 5.405 Å; angles 90.00, 90.00, 90.00 degrees
Each line ends with the local moment (μB).
Atoms (fractional coordinates):
1 O 0.246 0.061 0.723  0.12
2 O 0.246 0.939 0.277  0.12
3 O 0.840 0.661 0.151  0.00
4 O 0.160 0.661 0.849  0.00
5 O 0.160 0.339 0.151  0.00
6 O 0.754 0.939 0.723  0.12
7 O 0.840 0.339 0.849  0.00
8 O 0.754 0.061 0.277  0.12
9 Al 0.500 0.000 0.500  0.00
10 Al 0.000 0.000 0.000  0.00
11 S 0.000 0.500 0.000  0.00
12 S 0.000 0.000 0.500  0.30



Q: Look up the mass density of the first one.
A: 10.300 g/cm3